! ZnSeN2Cl (PBE, relaxed); values from VASP
! **SG**: P4/mmm
! **Calculated volume**: 92.3 Å³ per cell
! **Formation energy without anion corrections**: 1.519 eV per atom
! **Polymorph energy (0 for the lowest one)**: 0.000 eV per atom
&SYSTEM
  ibrav = 0, nat = 5, ntyp = 4
/
ATOMIC_SPECIES
Zn 65.41 Zn.upf
Se 78.96 Se.upf
N 14.01 N.upf
Cl 35.45 Cl.upf
CELL_PARAMETERS angstrom
3.919 0.000 0.000
0.000 3.919 0.000
0.000 0.000 6.007
ATOMIC_POSITIONS crystal
Zn 0.000 0.000 0.000
Se 0.000 0.000 0.500
N 0.000 0.500 0.000
N 0.500 0.000 0.000
Cl 0.500 0.500 0.500

***

! MgGaTeI2 (PBE, relaxed); values from VASP
! **SG**: P4/mmm
! **Calculated volume**: 184.2 Å³ per cell
! **Formation energy without anion corrections**: -0.268 eV per atom
! **Polymorph energy (0 for the lowest one)**: 0.000 eV per atom
&SYSTEM
  ibrav = 0, nat = 5, ntyp = 4
/
ATOMIC_SPECIES
Mg 24.30 Mg.upf
Ga 69.72 Ga.upf
Te 127.60 Te.upf
I 126.90 I.upf
CELL_PARAMETERS angstrom
5.752 0.000 0.000
0.000 5.752 0.000
0.000 0.000 5.568
ATOMIC_POSITIONS crystal
Mg 0.000 0.000 0.000
Ga 0.500 0.500 0.500
Te 0.000 0.000 0.500
I 0.000 0.500 0.000
I 0.500 0.000 0.000

***

! YZr2Ru (PBE, relaxed); values from VASP
! **SG**: I-42d
! **Calculated volume**: 381.2 Å³ per cell
! **ΔE_f**: 0.02 eV/atom
! **Polymorph energy (0 for the lowest one)**: 0.287 eV per atom
&SYSTEM
  ibrav = 0, nat = 16, ntyp = 3
/
ATOMIC_SPECIES
Y 88.91 Y.upf
Zr 91.22 Zr.upf
Ru 101.07 Ru.upf
CELL_PARAMETERS angstrom
7.950 0.000 0.000
0.000 7.950 0.000
0.000 0.000 6.031
ATOMIC_POSITIONS crystal
Y 0.000 0.000 0.000
Y 0.000 0.500 0.250
Y 0.500 0.000 0.750
Y 0.500 0.500 0.500
Zr 0.186 0.250 0.625
Zr 0.250 0.686 0.875
Zr 0.250 0.814 0.375
Zr 0.314 0.250 0.125
Zr 0.686 0.750 0.125
Zr 0.750 0.186 0.375
Zr 0.750 0.314 0.875
Zr 0.814 0.750 0.625
Ru 0.000 0.000 0.500
Ru 0.000 0.500 0.750
Ru 0.500 0.000 0.250
Ru 0.500 0.500 0.000

***

! NaVSb3 (PBE, relaxed); values from VASP
! **SG**: Pm-3m
! **Calculated volume**: 141.3 Å³ per cell
! **Formation energy without anion corrections**: 0.095 eV per atom
! **Polymorph energy (0 for the lowest one)**: 0.000 eV per atom
&SYSTEM
  ibrav = 0, nat = 5, ntyp = 3
/
ATOMIC_SPECIES
Na 22.99 Na.upf
V 50.94 V.upf
Sb 121.76 Sb.upf
CELL_PARAMETERS angstrom
5.209 0.000 0.000
0.000 5.209 0.000
0.000 0.000 5.209
ATOMIC_POSITIONS crystal
Na 0.000 0.000 0.000
V 0.500 0.500 0.500
Sb 0.000 0.500 0.500
Sb 0.500 0.000 0.500
Sb 0.500 0.500 0.000

***

Please write out number 1 again, unchanged.
! ZnSeN2Cl (PBE, relaxed); values from VASP
! **SG**: P4/mmm
! **Calculated volume**: 92.3 Å³ per cell
! **Formation energy without anion corrections**: 1.519 eV per atom
! **Polymorph energy (0 for the lowest one)**: 0.000 eV per atom
&SYSTEM
  ibrav = 0, nat = 5, ntyp = 4
/
ATOMIC_SPECIES
Zn 65.41 Zn.upf
Se 78.96 Se.upf
N 14.01 N.upf
Cl 35.45 Cl.upf
CELL_PARAMETERS angstrom
3.919 0.000 0.000
0.000 3.919 0.000
0.000 0.000 6.007
ATOMIC_POSITIONS crystal
Zn 0.000 0.000 0.000
Se 0.000 0.000 0.500
N 0.000 0.500 0.000
N 0.500 0.000 0.000
Cl 0.500 0.500 0.500

***

Question: Look up the calculated volume of the fourth one.
Answer: 141.3 Å³ per cell